No. 1
# ZnIn2Cu

An optimized crystal structure of ZnIn2Cu (PBE, the Alexandria database).

Summary:
The energy of formation from the pure elements is 0.166 eV per atom. The calculation puts the magnetic moment at 0.0000 μB/atom. The crystal system is orthorhombic.

Lattice parameters (Å, degrees): 6.3114 7.9787 3.0974 90.00 90.00 90.00
Space group Cmmm (No. 65)
Unique sites:
Zn 0.0000 0.0000 0.0000 [2 per cell]
In 0.2500 0.2500 0.5000 [4 per cell]
Cu 0.0000 0.5000 0.0000 [2 per cell]


No. 2
# RbBaMnGe2

An optimized crystal structure of RbBaMnGe2 (PBE, the Alexandria database).

Summary:
The energy of formation from the pure elements is 1.451 eV per atom. The calculation puts the magnetic moment at 1.0706 μB/atom. The crystal system is tetragonal.

Lattice parameters (Å, degrees): 5.7359 5.7359 6.0932 90.00 90.00 90.00
Space group P4/mmm (No. 123)
Unique sites:
Rb 0.0000 0.0000 0.0000 [1 per cell]
Ba 0.0000 0.0000 0.5000 [1 per cell]
Mn 0.5000 0.5000 0.5000 [1 per cell]
Ge 0.0000 0.5000 0.0000 [2 per cell]


No. 3
# Sr2Ni4C

An optimized crystal structure of Sr2Ni4C (PBE, the Alexandria database).

Summary:
The energy of formation from the pure elements is 0.101 eV per atom. The calculation puts the magnetic moment at 0.0000 μB/atom. The crystal system is tetragonal.

Lattice parameters (Å, degrees): 3.9316 3.9316 16.6856 90.00 90.00 90.00
Space group I4/mmm (No. 139)
Unique sites:
Sr 0.0000 0.0000 0.1612 [4 per cell]
Ni 0.0000 0.0000 0.3914 [4 per cell]
Ni 0.0000 0.5000 0.0000 [4 per cell]
C 0.0000 0.0000 0.5000 [2 per cell]


No. 4
# Np3B2PtRh9

An optimized crystal structure of Np3B2PtRh9 (PBE, the Alexandria database).

Summary:
The energy of formation from the pure elements is -0.261 eV per atom. The calculation puts the magnetic moment at 0.5323 μB/atom. The crystal system is trigonal.

Lattice parameters (Å, degrees): 5.6889 5.6889 9.0025 90.00 90.00 120.00
Space group P-3m1 (No. 164)
Unique sites:
Np 0.0000 0.0000 0.0000 [1 per cell]
Np 0.3333 0.6667 0.6349 [2 per cell]
B 0.3333 0.6667 0.1442 [2 per cell]
Pt 0.0000 0.0000 0.5000 [1 per cell]
Rh 0.0000 0.5000 0.0000 [3 per cell]
Rh 0.1612 0.3224 0.2686 [6 per cell]


No. 5
# ErLuOsAu

An optimized crystal structure of ErLuOsAu (PBE, the Alexandria database).

Summary:
The energy of formation from the pure elements is -0.547 eV per atom. The calculation puts the magnetic moment at 0.0000 μB/atom. The crystal system is cubic.

Lattice parameters (Å, degrees): 6.8874 6.8874 6.8874 90.00 90.00 90.00
Space group F-43m (No. 216)
Unique sites:
Er 0.0000 0.0000 0.0000 [4 per cell]
Lu 0.0000 0.0000 0.5000 [4 per cell]
Os 0.2500 0.2500 0.2500 [4 per cell]
Au 0.2500 0.2500 0.7500 [4 per cell]


No. 6
# KAgP2O

An optimized crystal structure of KAgP2O (PBE, the Alexandria database).

Summary:
Its polymorph energy (0 for the lowest one) is 0 meV/atom. The calculation puts the magnetic moment at 0.3023 μB/atom. The crystal system is tetragonal. Its uncorrected formation energy is 0.589 eV per atom.

Lattice parameters (Å, degrees): 4.8859 4.8859 4.5188 90.00 90.00 90.00
Space group P4/mmm (No. 123)
Unique sites:
K 0.0000 0.0000 0.0000 [1 per cell]
Ag 0.5000 0.5000 0.5000 [1 per cell]
P 0.0000 0.5000 0.5000 [2 per cell]
O 0.5000 0.5000 0.0000 [1 per cell]


No. 7
# Nd9Y2Ho

An optimized crystal structure of Nd9Y2Ho (PBE, the Alexandria database).

Summary:
The energy of formation from the pure elements is 0.014 eV per atom. The calculation puts the magnetic moment at 0.0000 μB/atom. The crystal system is tetragonal.

Lattice parameters (Å, degrees): 5.1612 5.1612 15.4847 90.00 90.00 90.00
Space group P4/mmm (No. 123)
Unique sites:
Nd 0.0000 0.0000 0.0000 [1 per cell]
Nd 0.0000 0.0000 0.3329 [2 per cell]
Nd 0.0000 0.5000 0.1658 [4 per cell]
Nd 0.0000 0.5000 0.5000 [2 per cell]
Y 0.5000 0.5000 0.3330 [2 per cell]
Ho 0.5000 0.5000 0.0000 [1 per cell]


No. 8
# La3TlN

An optimized crystal structure of La3TlN (PBE, the Alexandria database).

Summary:
The calculation puts the magnetic moment at 0.0000 μB/atom. The crystal system is orthorhombic. Its uncorrected formation energy is -0.795 eV per atom.

Lattice parameters (Å, degrees): 7.2073 14.7511 5.1127 90.00 90.00 90.00
Space group Cmmm (No. 65)
Unique sites:
La 0.0000 0.1305 0.0000 [4 per cell]
La 0.2462 0.0000 0.5000 [4 per cell]
La 0.2500 0.2500 0.5000 [4 per cell]
Tl 0.0000 0.3717 0.0000 [4 per cell]
N 0.0000 0.1224 0.5000 [4 per cell]


No. 9
# NaGaSe2

An optimized crystal structure of NaGaSe2 (PBE, the Alexandria database).

Summary:
The calculation puts the magnetic moment at 0.0000 μB/atom. The crystal system is triclinic. Its uncorrected formation energy is -0.831 eV per atom.

Lattice parameters (Å, degrees): 3.9453 7.2335 8.1117 101.23 104.03 90.07
Space group P-1 (No. 2)
Unique sites:
Na 0.1591 0.1686 0.3214 [2 per cell]
Ga 0.4056 0.3655 0.8138 [2 per cell]
Se 0.1808 0.7696 0.3595 [2 per cell]
Se 0.4491 0.7063 0.8964 [2 per cell]


No. 10
# Sm2ErSn2

An optimized crystal structure of Sm2ErSn2 (PBE, the Alexandria database).

Summary:
The energy of formation from the pure elements is -0.705 eV per atom. The calculation puts the magnetic moment at 0.0000 μB/atom. The crystal system is tetragonal.

Lattice parameters (Å, degrees): 8.0782 8.0782 4.4998 90.00 90.00 90.00
Space group P4/mbm (No. 127)
Unique sites:
Sm 0.1710 0.3290 0.0000 [4 per cell]
Er 0.0000 0.0000 0.5000 [2 per cell]
Sn 0.1315 0.6315 0.5000 [4 per cell]


No. 11
# DyNi9Sn2

An optimized crystal structure of DyNi9Sn2 (PBE, the Alexandria database).

Summary:
Its polymorph energy (0 for the lowest one) is 23 meV/atom. The energy of formation from the pure elements is -0.223 eV per atom. The calculation puts the magnetic moment at 0.0778 μB/atom. The crystal system is trigonal.

Lattice parameters (Å, degrees): 4.9303 4.9303 23.6283 90.00 90.00 120.00
Space group R-3m (No. 166, hexagonal axes)
Unique sites:
Dy 0.0000 0.0000 0.0000 [3 per cell]
Ni 0.0000 0.0000 0.3338 [6 per cell]
Ni 0.0000 0.0000 0.5000 [3 per cell]
Ni 0.0039 0.5019 0.9157 [18 per cell]
Sn 0.0000 0.0000 0.1378 [6 per cell]


No. 12
# Tb8Nd2Y3

An optimized crystal structure of Tb8Nd2Y3 (PBE, the Alexandria database).

Summary:
The energy of formation from the pure elements is 0.234 eV per atom. The calculation puts the magnetic moment at 0.0000 μB/atom. The crystal system is orthorhombic.

Lattice parameters (Å, degrees): 7.6490 20.7536 5.5934 90.00 90.00 90.00
Space group Cmmm (No. 65)
Unique sites:
Tb 0.0000 0.1302 0.0000 [4 per cell]
Tb 0.0000 0.3365 0.0000 [4 per cell]
Tb 0.2110 0.3936 0.5000 [8 per cell]
Nd 0.0000 0.2411 0.5000 [4 per cell]
Y 0.0000 0.0000 0.5000 [2 per cell]
Y 0.2140 0.5000 0.0000 [4 per cell]


No. 13
# LaDy2Te4

An optimized crystal structure of LaDy2Te4 (PBE, the Alexandria database).

Summary:
The calculation puts the magnetic moment at 0.0000 μB/atom. The crystal system is orthorhombic. Its uncorrected formation energy is -1.450 eV per atom.

Lattice parameters (Å, degrees): 13.5970 4.3296 15.8379 90.00 90.00 90.00
Space group Pnma (No. 62)
Unique sites:
La 0.2461 0.2500 0.1743 [4 per cell]
Dy 0.0543 0.2500 0.3873 [4 per cell]
Dy 0.0945 0.2500 0.9117 [4 per cell]
Te 0.0406 0.7500 0.7856 [4 per cell]
Te 0.1023 0.2500 0.5763 [4 per cell]
Te 0.1288 0.7500 0.0468 [4 per cell]
Te 0.1994 0.7500 0.3265 [4 per cell]


No. 14
# Pm3Co

An optimized crystal structure of Pm3Co (PBE, the Alexandria database).

Summary:
Its polymorph energy (0 for the lowest one) is 23 meV/atom. The energy of formation from the pure elements is 0.020 eV per atom. The calculation puts the magnetic moment at 0.0000 μB/atom. The crystal system is orthorhombic.

Lattice parameters (Å, degrees): 3.6340 10.7735 5.6342 90.00 90.00 90.00
Space group Imm2 (No. 44)
Unique sites:
Pm 0.0000 0.0000 0.0000 [2 per cell]
Pm 0.0000 0.1901 0.5065 [4 per cell]
Co 0.0000 0.5000 0.0596 [2 per cell]


No. 15
# NiWC3

An optimized crystal structure of NiWC3 (PBE, the Alexandria database).

Summary:
Its polymorph energy (0 for the lowest one) is 0 meV/atom. The energy of formation from the pure elements is 2.114 eV per atom. The calculation puts the magnetic moment at 0.0000 μB/atom. The crystal system is cubic.

Lattice parameters (Å, degrees): 4.0616 4.0616 4.0616 90.00 90.00 90.00
Space group Pm-3m (No. 221)
Unique sites:
Ni 0.0000 0.0000 0.0000 [1 per cell]
W 0.5000 0.5000 0.5000 [1 per cell]
C 0.0000 0.5000 0.5000 [3 per cell]


No. 16
# BiSIO2

An optimized crystal structure of BiSIO2 (PBE, the Alexandria database).

Summary:
The calculation puts the magnetic moment at 0.0000 μB/atom. The crystal system is tetragonal. Its uncorrected formation energy is 0.012 eV per atom.

Lattice parameters (Å, degrees): 4.1581 4.1581 7.3174 90.00 90.00 90.00
Space group P4/mmm (No. 123)
Unique sites:
Bi 0.0000 0.0000 0.0000 [1 per cell]
S 0.5000 0.5000 0.5000 [1 per cell]
I 0.0000 0.0000 0.5000 [1 per cell]
O 0.0000 0.5000 0.0000 [2 per cell]


No. 17
# LaTe2Pb

An optimized crystal structure of LaTe2Pb (PBE, the Alexandria database).

Summary:
The calculation puts the magnetic moment at 0.0000 μB/atom. The crystal system is tetragonal. Its uncorrected formation energy is -0.635 eV per atom.

Lattice parameters (Å, degrees): 6.3311 6.3311 17.9234 90.00 90.00 90.00
Space group I-42d (No. 122)
Unique sites:
La 0.0000 0.0000 0.0000 [4 per cell]
Te 0.2392 0.2500 0.1250 [8 per cell]
Pb 0.0000 0.0000 0.5000 [4 per cell]


No. 18
# CeCd2Au

An optimized crystal structure of CeCd2Au (PBE, the Alexandria database).

Summary:
The energy of formation from the pure elements is -0.358 eV per atom. The calculation puts the magnetic moment at 0.1934 μB/atom. The crystal system is tetragonal.

Lattice parameters (Å, degrees): 5.0719 5.0719 15.1021 90.00 90.00 90.00
Space group I4/mmm (No. 139)
Unique sites:
Ce 0.0000 0.0000 0.1441 [4 per cell]
Cd 0.0000 0.0000 0.3700 [4 per cell]
Cd 0.0000 0.5000 0.0000 [4 per cell]
Au 0.0000 0.5000 0.2500 [4 per cell]


No. 19
# Sr2CuP

An optimized crystal structure of Sr2CuP (PBE, the Alexandria database).

Summary:
The energy of formation from the pure elements is -0.503 eV per atom. The calculation puts the magnetic moment at 0.0000 μB/atom. The crystal system is monoclinic.

Lattice parameters (Å, degrees): 7.7805 4.5018 7.7130 90.00 109.76 90.00
Space group C2/m (No. 12)
Unique sites:
Sr 0.2378 0.0000 0.2130 [4 per cell]
Cu 0.0000 0.0000 0.5000 [2 per cell]
P 0.0000 0.5000 0.0000 [2 per cell]


No. 20
# Th6PbC

An optimized crystal structure of Th6PbC (PBE, the Alexandria database).

Summary:
The energy of formation from the pure elements is -0.146 eV per atom. The calculation puts the magnetic moment at 0.0001 μB/atom. The crystal system is trigonal.

Lattice parameters (Å, degrees): 9.5643 9.5643 8.6852 90.00 90.00 120.00
Space group R-3 (No. 148, hexagonal axes)
Unique sites:
Th 0.0586 0.8165 0.1622 [18 per cell]
Pb 0.0000 0.0000 0.5000 [3 per cell]
C 0.0000 0.0000 0.0000 [3 per cell]


No. 21
# LiPrNi

An optimized crystal structure of LiPrNi (PBE, the Alexandria database).

Summary:
Its polymorph energy (0 for the lowest one) is 177 meV/atom. The energy of formation from the pure elements is 0.007 eV per atom. The calculation puts the magnetic moment at 0.0000 μB/atom. The crystal system is tetragonal.

Lattice parameters (Å, degrees): 3.5543 3.5543 9.6196 90.00 90.00 90.00
Space group I4mm (No. 107)
Unique sites:
Li 0.0000 0.0000 0.0000 [2 per cell]
Pr 0.0000 0.0000 0.7095 [2 per cell]
Ni 0.0000 0.0000 0.3664 [2 per cell]